DyHo14Zr | GGA-PBE | relaxed

Cell and atoms, written as CIF:
```
data_DyHo14Zr
_chemical_formula_sum 'Dy1 Ho14 Zr1'
_space_group_name_H-M_alt 'P 4/m m m'
_space_group_IT_number 123
_space_group_name_Hall '-P 4 2'
_cell_length_a 7.0080
_cell_length_b 7.0080
_cell_length_c 9.8797
_cell_angle_alpha 90.00
_cell_angle_beta 90.00
_cell_angle_gamma 90.00
loop_
_atom_site_label
_atom_site_type_symbol
_atom_site_fract_x
_atom_site_fract_y
_atom_site_fract_z
_atom_site_occupancy
Dy1 Dy 0.0000 0.0000 0.0000 1
Ho1 Ho 0.0000 0.0000 0.5000 1
Ho2 Ho 0.0000 0.5000 0.0000 1
Ho3 Ho 0.0000 0.5000 0.5000 1
Ho4 Ho 0.2547 0.2547 0.2450 1
Ho5 Ho 0.5000 0.5000 0.5000 1
Zr1 Zr 0.5000 0.5000 0.0000 1
```

=====

# Dy8Ho2Zr (GGA-PBE, relaxed)
data_Dy8Ho2Zr
_chemical_formula_sum 'Dy16 Ho4 Zr2'
_space_group_name_H-M_alt 'C 1 2/m 1'
_space_group_IT_number 12
_cell_length_a 17.8474
_cell_length_b 4.9444
_cell_length_c 7.8461
_cell_angle_alpha 90.00
_cell_angle_beta 105.31
_cell_angle_gamma 90.00
loop_
_space_group_symop_operation_xyz
'x,y,z'
'-x,-y,-z'
'-x,y,-z'
'x,-y,z'
'x+1/2,y+1/2,z'
'-x+1/2,-y+1/2,-z'
'-x+1/2,y+1/2,-z'
'x+1/2,-y+1/2,z'
loop_
_atom_site_label
_atom_site_type_symbol
_atom_site_fract_x
_atom_site_fract_y
_atom_site_fract_z
_atom_site_occupancy
Dy1 Dy 0.0442 0.0000 0.2364 1
Dy2 Dy 0.0893 0.5000 0.9445 1
Dy3 Dy 0.1321 0.0000 0.6756 1
Dy4 Dy 0.1789 0.5000 0.4104 1
Ho1 Ho 0.2261 0.0000 0.1344 1
Zr1 Zr 0.0000 0.5000 0.5000 1
# * energy above the most stable polymorph in this dataset: 0.0 meV/atom

=====

# DyHo2Zr (GGA-PBE, relaxed)
data_DyHo2Zr
_chemical_formula_sum 'Dy1 Ho2 Zr1'
_space_group_name_H-M_alt 'P 4/m m m'
_space_group_IT_number 123
_space_group_name_Hall '-P 4 2'
_cell_length_a 4.0035
_cell_length_b 4.0035
_cell_length_c 7.1991
_cell_angle_alpha 90.00
_cell_angle_beta 90.00
_cell_angle_gamma 90.00
loop_
_atom_site_label
_atom_site_type_symbol
_atom_site_fract_x
_atom_site_fract_y
_atom_site_fract_z
_atom_site_occupancy
Dy1 Dy 0.0000 0.0000 0.0000 1
Ho1 Ho 0.5000 0.5000 0.2740 1
Zr1 Zr 0.0000 0.0000 0.5000 1
# * energy above the most stable polymorph in this dataset: 98.5 meV/atom

=====

# DyHo2Zr (GGA-PBE, relaxed)
data_DyHo2Zr
_chemical_formula_sum 'Dy1 Ho2 Zr1'
_space_group_name_H-M_alt 'P 4/m m m'
_space_group_IT_number 123
_space_group_name_Hall '-P 4 2'
_cell_length_a 4.8475
_cell_length_b 4.8475
_cell_length_c 4.8499
_cell_angle_alpha 90.00
_cell_angle_beta 90.00
_cell_angle_gamma 90.00
loop_
_atom_site_label
_atom_site_type_symbol
_atom_site_fract_x
_atom_site_fract_y
_atom_site_fract_z
_atom_site_occupancy
Dy1 Dy 0.0000 0.0000 0.0000 1
Ho1 Ho 0.0000 0.5000 0.5000 1
Zr1 Zr 0.5000 0.5000 0.0000 1
# * energy above the most stable polymorph in this dataset: 18.5 meV/atom

=====

Dy12Ho5Zr2 | GGA-PBE | relaxed

Cell and atoms, written as CIF:
```
data_Dy12Ho5Zr2
_chemical_formula_sum 'Dy24 Ho10 Zr4'
_space_group_name_H-M_alt 'C 1 2/m 1'
_space_group_IT_number 12
_cell_length_a 18.0096
_cell_length_b 7.3569
_cell_length_c 9.4718
_cell_angle_alpha 90.00
_cell_angle_beta 109.33
_cell_angle_gamma 90.00
loop_
_space_group_symop_operation_xyz
'x,y,z'
'-x,-y,-z'
'-x,y,-z'
'x,-y,z'
'x+1/2,y+1/2,z'
'-x+1/2,-y+1/2,-z'
'-x+1/2,y+1/2,-z'
'x+1/2,-y+1/2,z'
loop_
_atom_site_label
_atom_site_type_symbol
_atom_site_fract_x
_atom_site_fract_y
_atom_site_fract_z
_atom_site_occupancy
Dy1 Dy 0.0051 0.0000 0.1845 1
Dy2 Dy 0.0181 0.5000 0.6905 1
Dy3 Dy 0.1566 0.2542 0.3771 1
Dy4 Dy 0.1581 0.2517 0.0070 1
Ho1 Ho 0.0000 0.5000 0.0000 1
Ho2 Ho 0.1852 0.0000 0.7099 1
Ho3 Ho 0.2009 0.5000 0.7108 1
Zr1 Zr 0.0000 0.1758 0.5000 1
```

=====

Dy4Ho2Zr | GGA-PBE | relaxed

Cell and atoms, written as CIF:
```
data_Dy4Ho2Zr
_chemical_formula_sum 'Dy8 Ho4 Zr2'
_space_group_name_H-M_alt 'C 1 m 1'
_space_group_IT_number 8
_cell_length_a 6.0803
_cell_length_b 3.5107
_cell_length_c 19.6572
_cell_angle_alpha 90.00
_cell_angle_beta 90.01
_cell_angle_gamma 90.00
loop_
_space_group_symop_operation_xyz
'x,y,z'
'x,-y,z'
'x+1/2,y+1/2,z'
'x+1/2,-y+1/2,z'
loop_
_atom_site_label
_atom_site_type_symbol
_atom_site_fract_x
_atom_site_fract_y
_atom_site_fract_z
_atom_site_occupancy
Dy1 Dy 0.0000 0.0000 0.0000 1
Dy2 Dy 0.0002 0.0000 0.2658 1
Dy3 Dy 0.3344 0.0000 0.8492 1
Dy4 Dy 0.3347 0.0000 0.5594 1
Ho1 Ho 0.1677 0.5000 0.4146 1
Ho2 Ho 0.1681 0.5000 0.7048 1
Zr1 Zr 0.1666 0.5000 0.1337 1
```

=====

# DyHo2Zr (GGA-PBE, relaxed)
data_DyHo2Zr
_chemical_formula_sum 'Dy3 Ho6 Zr3'
_space_group_name_H-M_alt 'R 3 m'
_space_group_IT_number 160
_space_group_name_Hall 'R 3 -2"'
_cell_length_a 3.4533
_cell_length_b 3.4533
_cell_length_c 33.4032
_cell_angle_alpha 90.00
_cell_angle_beta 90.00
_cell_angle_gamma 120.00
loop_
_atom_site_label
_atom_site_type_symbol
_atom_site_fract_x
_atom_site_fract_y
_atom_site_fract_z
_atom_site_occupancy
Dy1 Dy 0.0000 0.0000 0.0000 1
Ho1 Ho 0.0000 0.0000 0.2457 1
Ho2 Ho 0.0000 0.0000 0.4215 1
Zr1 Zr 0.0000 0.0000 0.8337 1
# * energy above the most stable polymorph in this dataset: 0.0 meV/atom

=====

# DyHo2Zr (GGA-PBE, relaxed)
data_DyHo2Zr
_chemical_formula_sum 'Dy4 Ho8 Zr4'
_space_group_name_H-M_alt 'F m -3 m'
_space_group_IT_number 225
_space_group_name_Hall '-F 4 2 3'
_cell_length_a 7.7565
_cell_length_b 7.7565
_cell_length_c 7.7565
_cell_angle_alpha 90.00
_cell_angle_beta 90.00
_cell_angle_gamma 90.00
loop_
_atom_site_label
_atom_site_type_symbol
_atom_site_fract_x
_atom_site_fract_y
_atom_site_fract_z
_atom_site_occupancy
Dy1 Dy 0.0000 0.0000 0.0000 1
Ho1 Ho 0.2500 0.2500 0.2500 1
Zr1 Zr 0.0000 0.0000 0.5000 1
# * energy above the most stable polymorph in this dataset: 141.4 meV/atom

=====

# DyHo2Zr (GGA-PBE, relaxed)
data_DyHo2Zr
_chemical_formula_sum 'Dy3 Ho6 Zr3'
_space_group_name_H-M_alt 'R -3 m'
_space_group_IT_number 166
_space_group_name_Hall '-R 3 2"'
_cell_length_a 3.4294
_cell_length_b 3.4294
_cell_length_c 33.7589
_cell_angle_alpha 90.00
_cell_angle_beta 90.00
_cell_angle_gamma 120.00
loop_
_atom_site_label
_atom_site_type_symbol
_atom_site_fract_x
_atom_site_fract_y
_atom_site_fract_z
_atom_site_occupancy
Dy1 Dy 0.0000 0.0000 0.0000 1
Ho1 Ho 0.0000 0.0000 0.2452 1
Zr1 Zr 0.0000 0.0000 0.5000 1
# * energy above the most stable polymorph in this dataset: 7.3 meV/atom

=====

# DyHoZr2 (GGA-PBE, relaxed)
data_DyHoZr2
_chemical_formula_sum 'Dy1 Ho1 Zr2'
_space_group_name_H-M_alt 'P 4/m m m'
_space_group_IT_number 123
_space_group_name_Hall '-P 4 2'
_cell_length_a 4.6902
_cell_length_b 4.6902
_cell_length_c 4.8138
_cell_angle_alpha 90.00
_cell_angle_beta 90.00
_cell_angle_gamma 90.00
loop_
_atom_site_label
_atom_site_type_symbol
_atom_site_fract_x
_atom_site_fract_y
_atom_site_fract_z
_atom_site_occupancy
Dy1 Dy 0.0000 0.0000 0.0000 1
Ho1 Ho 0.5000 0.5000 0.0000 1
Zr1 Zr 0.0000 0.5000 0.5000 1
# * energy above the most stable polymorph in this dataset: 38.7 meV/atom

=====

# Dy4Ho5Zr (GGA-PBE, relaxed)
data_Dy4Ho5Zr
_chemical_formula_sum 'Dy8 Ho10 Zr2'
_space_group_name_H-M_alt 'I 4 m m'
_space_group_IT_number 107
_space_group_name_Hall 'I 4 -2'
_cell_length_a 10.3699
_cell_length_b 10.3699
_cell_length_c 5.8633
_cell_angle_alpha 90.00
_cell_angle_beta 90.00
_cell_angle_gamma 90.00
loop_
_atom_site_label
_atom_site_type_symbol
_atom_site_fract_x
_atom_site_fract_y
_atom_site_fract_z
_atom_site_occupancy
Dy1 Dy 0.0000 0.3211 0.0000 1
Ho1 Ho 0.0000 0.0000 0.2360 1
Ho2 Ho 0.1845 0.1845 0.5312 1
Zr1 Zr 0.0000 0.0000 0.7743 1
# * energy above the most stable polymorph in this dataset: 204.4 meV/atom

=====

# Dy2Ho6Zr (GGA-PBE, relaxed)
data_Dy2Ho6Zr
_chemical_formula_sum 'Dy2 Ho6 Zr1'
_space_group_name_H-M_alt 'P -6 2 m'
_space_group_IT_number 189
_space_group_name_Hall 'P -6 -2'
_cell_length_a 9.4922
_cell_length_b 9.4922
_cell_length_c 3.4926
_cell_angle_alpha 90.00
_cell_angle_beta 90.00
_cell_angle_gamma 120.00
loop_
_atom_site_label
_atom_site_type_symbol
_atom_site_fract_x
_atom_site_fract_y
_atom_site_fract_z
_atom_site_occupancy
Dy1 Dy 0.3333 0.6667 0.0000 1
Ho1 Ho 0.0000 0.2914 0.0000 1
Ho2 Ho 0.0000 0.6479 0.5000 1
Zr1 Zr 0.0000 0.0000 0.5000 1
# * energy above the most stable polymorph in this dataset: 0.0 meV/atom

=====

ΔH_f (0 K) (kJ per mole of atoms)
3.3 4.2 16.2 8.5 16.8 3.8 6.7 20.4 7.4 11.6 24.1 3.3
DFT total energy (eV per atom)
-4.793 -4.913 -5.408 -5.488 -4.837 -5.119 -5.507 -5.365 -5.499 -6.449 -4.735 -4.990